The following is a DFT calculation (PBE) of a relaxed structure of SrNdIn.

Cell lengths 5.530, 5.530, 3.899 Å; angles 90.00, 90.00, 120.00 degrees
Fractional positions:
Sr (0.000, 0.000, 0.000)
Nd (0.333, 0.667, 0.430)
In (0.667, 0.333, 0.636)

- ΔH_f (0 K) (meV per atom) = -173
- calculated total energy (eV for the cell shown) = -9.71
- excess energy over the best structure of this formula in the dataset (kJ per mole of atoms) = 15.9